No. 1
DFT (PBEsol) results for a relaxed structure of BiTe2AuF.

Cell: 5.282 5.282 5.561 Å, 90.00 90.00 90.00°
Sites, in units of the cell vectors:
Te (0.000, 0.500, 0.000)
Te (0.500, 0.000, 0.000)
Au (0.000, 0.000, 0.000)
Bi (0.000, 0.000, 0.500)
F (0.500, 0.500, 0.500)

Values from the calculation:
* formation energy without anion corrections: 0.311 eV/atom

No. 2
DFT (PBEsol) results for a relaxed structure of Fe2BiPAu.

Cell: 4.861 4.861 5.191 Å, 90.00 90.00 90.00°
Sites, in units of the cell vectors:
P (0.500, 0.500, 0.500)
Au (0.000, 0.000, 0.500)
Bi (0.000, 0.000, 0.000)
Fe (0.000, 0.500, 0.000)
Fe (0.500, 0.000, 0.000)

Values from the calculation:
* ΔE_f: 1.80 eV per atom

No. 3
DFT (PBEsol) results for a relaxed structure of GaBiAu2.

Cell: 4.876 4.876 4.876 Å, 60.00 60.00 60.00°
Sites, in units of the cell vectors:
Au (0.250, 0.250, 0.250)
Au (0.750, 0.750, 0.750)
Bi (0.500, 0.500, 0.500)
Ga (0.000, 0.000, 0.000)

Values from the calculation:
* ΔE_f: 0.05 eV per atom

No. 4
DFT (PBEsol) results for a relaxed structure of Ga2BiAu2.

Cell: 4.013 4.013 6.773 Å, 107.23 107.23 90.00°
Sites, in units of the cell vectors:
Au (0.387, 0.387, 0.774)
Au (0.613, 0.613, 0.226)
Bi (0.000, 0.000, 0.000)
Ga (0.250, 0.750, 0.500)
Ga (0.750, 0.250, 0.500)

Values from the calculation:
* ΔE_f: -0.15 eV per atom

No. 5
DFT (PBEsol) results for a relaxed structure of GaBi3Au.

Cell: 5.328 5.328 5.328 Å, 90.00 90.00 90.00°
Sites, in units of the cell vectors:
Au (0.500, 0.500, 0.500)
Bi (0.000, 0.500, 0.000)
Bi (0.000, 0.000, 0.500)
Bi (0.500, 0.000, 0.000)
Ga (0.000, 0.000, 0.000)

Values from the calculation:
* ΔE_f: 0.74 eV per atom

No. 6
DFT (PBEsol) results for a relaxed structure of Ge2BiAu2.

Cell: 4.125 4.125 6.747 Å, 107.80 107.80 90.00°
Sites, in units of the cell vectors:
Ge (0.250, 0.750, 0.500)
Ge (0.750, 0.250, 0.500)
Au (0.389, 0.389, 0.779)
Au (0.611, 0.611, 0.221)
Bi (0.000, 0.000, 0.000)

Values from the calculation:
* ΔE_f: 0.02 eV per atom

The size of the total moment results, record by record, are as follows: 0.001 5.550 0.000 0.000 0.000 0.000 μB/f.u..